Run i
Here is a relaxed structure of Pm3ErSe6 from Alexandria. Energies are from PBE.

Geometry as CIF:
```
data_Pm3ErSe6
_chemical_formula_sum 'Pm18 Er6 Se36'
_cell_length_a 12.1951
_cell_length_b 12.1951
_cell_length_c 14.4837
_cell_angle_alpha 90.00
_cell_angle_beta 90.00
_cell_angle_gamma 120.00
_space_group_name_H-M_alt 'R -3'
_space_group_IT_number 148
_space_group_name_Hall '-R 3'
loop_
_atom_site_label
_atom_site_type_symbol
_atom_site_fract_x
_atom_site_fract_y
_atom_site_fract_z
Pm1 Pm 0.0518 0.7802 0.2012
Er1 Er 0.0000 0.0000 0.0000
Er2 Er 0.0000 0.0000 0.5000
Se1 Se 0.0201 0.8118 0.3978
Se2 Se 0.0325 0.8392 0.8791
```

Summary:
**M_tot**: 0.000 μB/atom
**V**: 1865.44 Å³ per cell


Run ii
Here is a relaxed structure of Pm3ErSe6 from Alexandria. Energies are from PBE.

Geometry as CIF:
```
data_Pm3ErSe6
_chemical_formula_sum 'Pm6 Er2 Se12'
_cell_length_a 6.968
_cell_length_b 7.688
_cell_length_c 12.570
_cell_angle_alpha 90.00
_cell_angle_beta 122.64
_cell_angle_gamma 90.00
_space_group_name_H-M_alt 'P 1 21/c 1'
_space_group_IT_number 14
_space_group_name_Hall '-P 2ybc'
loop_
_atom_site_label
_atom_site_type_symbol
_atom_site_fract_x
_atom_site_fract_y
_atom_site_fract_z
Pm1 Pm 0.000 0.000 0.000
Pm2 Pm 0.298 0.104 0.753
Er1 Er 0.500 0.000 0.500
Se1 Se 0.097 0.059 0.256
Se2 Se 0.257 0.679 0.081
Se3 Se 0.413 0.185 0.079
```

Summary:
**M_tot**: 0.000 μB/atom
**V**: 567.02 Å³ per cell


Relative energies in eV/atom: run i 0.000; run ii 0.021


Run i
Here is a relaxed structure of PmErSe2 from Alexandria. Energies are from PBE.

Geometry as CIF:
```
data_PmErSe2
_chemical_formula_sum 'Pm3 Er3 Se6'
_cell_length_a 3.9854
_cell_length_b 3.9854
_cell_length_c 21.7823
_cell_angle_alpha 90.00
_cell_angle_beta 90.00
_cell_angle_gamma 120.00
_space_group_name_H-M_alt 'R 3 m'
_space_group_IT_number 160
_space_group_name_Hall 'R 3 -2"'
loop_
_atom_site_label
_atom_site_type_symbol
_atom_site_fract_x
_atom_site_fract_y
_atom_site_fract_z
Pm1 Pm 0.0000 0.0000 0.0000
Er1 Er 0.0000 0.0000 0.8233
Se1 Se 0.0000 0.0000 0.4145
Se2 Se 0.0000 0.0000 0.5755
```

Summary:
**M_tot**: 0.000 μB/atom
**V**: 299.62 Å³ per cell


Run ii
Here is a relaxed structure of PmErSe2 from Alexandria. Energies are from PBE.

Geometry as CIF:
```
data_PmErSe2
_chemical_formula_sum 'Pm2 Er2 Se4'
_cell_length_a 4.303
_cell_length_b 9.207
_cell_length_c 6.519
_cell_angle_alpha 90.00
_cell_angle_beta 90.00
_cell_angle_gamma 90.00
_space_group_name_H-M_alt 'P m n 21'
_space_group_IT_number 31
_space_group_name_Hall 'P 2ac -2'
loop_
_atom_site_label
_atom_site_type_symbol
_atom_site_fract_x
_atom_site_fract_y
_atom_site_fract_z
Pm1 Pm 0.000 0.087 0.000
Er1 Er 0.000 0.659 0.869
Se1 Se 0.000 0.408 0.124
Se2 Se 0.000 0.822 0.221
```

Summary:
**M_tot**: 0.000 μB/atom
**V**: 258.27 Å³ per cell


Relative energies in eV/atom: run i 0.000; run ii 0.347